First-principles (PBE) data for crystalline Tb4Pr4Er3 at its relaxed geometry, as listed in the Alexandria database. Values from VASP.

## Properties
For the energy relative to the lowest polymorph listed for this composition, the calculation gives 61 kJ/mol of formula units. The symmetry is Immm, No. 71.

Geometry as Quantum ESPRESSO input:
```
&SYSTEM
  ibrav = 0, nat = 11, ntyp = 3
/
ATOMIC_SPECIES
Tb 158.93 Tb.upf
Pr 140.91 Pr.upf
Er 167.26 Er.upf
CELL_PARAMETERS angstrom
-1.816 4.744 10.874
1.816 -4.744 10.874
1.816 4.744 -10.874
ATOMIC_POSITIONS crystal
Tb 0.183 0.000 0.183
Tb 0.238 0.238 0.000
Tb 0.762 0.762 0.000
Tb 0.817 0.000 0.817
Pr 0.178 0.856 0.323
Pr 0.467 0.144 0.323
Pr 0.533 0.856 0.677
Pr 0.822 0.144 0.677
Er 0.106 0.606 0.500
Er 0.500 0.500 0.000
Er 0.894 0.394 0.500
```


First-principles (PBE) data for crystalline TbPrEr at its relaxed geometry, as listed in the Alexandria database. Values from VASP.

## Properties
For the energy relative to the lowest polymorph listed for this composition, the calculation gives 0 kJ/mol of formula units. The symmetry is Cmce, No. 64.

Geometry as Quantum ESPRESSO input:
```
&SYSTEM
  ibrav = 0, nat = 12, ntyp = 3
/
ATOMIC_SPECIES
Tb 158.93 Tb.upf
Pr 140.91 Pr.upf
Er 167.26 Er.upf
CELL_PARAMETERS angstrom
2.542 -7.609 0.000
2.542 7.609 0.000
0.000 0.000 10.190
ATOMIC_POSITIONS crystal
Tb 0.085 0.915 0.875
Tb 0.415 0.585 0.375
Tb 0.585 0.415 0.625
Tb 0.915 0.085 0.125
Pr 0.084 0.916 0.375
Pr 0.416 0.584 0.875
Pr 0.584 0.416 0.125
Pr 0.916 0.084 0.625
Er 0.249 0.751 0.625
Er 0.251 0.749 0.125
Er 0.749 0.251 0.875
Er 0.751 0.249 0.375
```


First-principles (PBE) data for crystalline Tb12Pr3Er at its relaxed geometry, as listed in the Alexandria database. Values from VASP.

## Properties
The total energy comes out at -4.63 eV per atom. The symmetry is P4/mmm, No. 123.

Geometry as Quantum ESPRESSO input:
```
&SYSTEM
  ibrav = 0, nat = 16, ntyp = 3
/
ATOMIC_SPECIES
Tb 158.93 Tb.upf
Pr 140.91 Pr.upf
Er 167.26 Er.upf
CELL_PARAMETERS angstrom
5.070 0.000 0.000
0.000 5.070 0.000
0.000 0.000 20.281
ATOMIC_POSITIONS crystal
Tb 0.000 0.000 0.000
Tb 0.000 0.000 0.248
Tb 0.000 0.000 0.500
Tb 0.000 0.000 0.752
Tb 0.000 0.500 0.122
Tb 0.000 0.500 0.374
Tb 0.000 0.500 0.626
Tb 0.000 0.500 0.878
Tb 0.500 0.000 0.122
Tb 0.500 0.000 0.374
Tb 0.500 0.000 0.626
Tb 0.500 0.000 0.878
Pr 0.500 0.500 0.249
Pr 0.500 0.500 0.500
Pr 0.500 0.500 0.751
Er 0.500 0.500 0.000
```


First-principles (PBE) data for crystalline Tb2Pr9Er at its relaxed geometry, as listed in the Alexandria database. Values from VASP.

## Properties
The total energy comes out at -4.72 eV per atom. The symmetry is P4/mmm, No. 123.

Geometry as Quantum ESPRESSO input:
```
&SYSTEM
  ibrav = 0, nat = 12, ntyp = 3
/
ATOMIC_SPECIES
Tb 158.93 Tb.upf
Pr 140.91 Pr.upf
Er 167.26 Er.upf
CELL_PARAMETERS angstrom
5.189 0.000 0.000
0.000 5.189 0.000
0.000 0.000 15.571
ATOMIC_POSITIONS crystal
Tb 0.000 0.000 0.167
Tb 0.000 0.000 0.833
Pr 0.000 0.500 0.000
Pr 0.000 0.500 0.334
Pr 0.000 0.500 0.666
Pr 0.500 0.000 0.000
Pr 0.500 0.000 0.334
Pr 0.500 0.000 0.666
Pr 0.500 0.500 0.167
Pr 0.500 0.500 0.500
Pr 0.500 0.500 0.833
Er 0.000 0.000 0.500
```


First-principles (PBE) data for crystalline Tb2PrEr5 at its relaxed geometry, as listed in the Alexandria database. Values from VASP.

## Properties
The total energy comes out at -4.59 eV per atom. The symmetry is P-1, No. 2.

Geometry as Quantum ESPRESSO input:
```
&SYSTEM
  ibrav = 0, nat = 16, ntyp = 3
/
ATOMIC_SPECIES
Tb 158.93 Tb.upf
Pr 140.91 Pr.upf
Er 167.26 Er.upf
CELL_PARAMETERS angstrom
6.140 0.000 0.000
3.039 8.858 0.000
1.005 1.069 9.263
ATOMIC_POSITIONS crystal
Tb 0.248 0.158 0.032
Tb 0.250 0.405 0.282
Tb 0.750 0.595 0.718
Tb 0.752 0.842 0.968
Pr 0.249 0.781 0.157
Pr 0.751 0.219 0.843
Er 0.249 0.531 0.905
Er 0.250 0.032 0.408
Er 0.250 0.656 0.532
Er 0.251 0.281 0.654
Er 0.252 0.906 0.778
Er 0.748 0.094 0.222
Er 0.749 0.719 0.346
Er 0.750 0.344 0.468
Er 0.750 0.968 0.592
Er 0.751 0.469 0.095
```


First-principles (PBE) data for crystalline TbPr4Er7 at its relaxed geometry, as listed in the Alexandria database. Values from VASP.

## Properties
For the energy relative to the lowest polymorph listed for this composition, the calculation gives 204 kJ/mol of formula units. The symmetry is C2/m, No. 12.

Geometry as Quantum ESPRESSO input:
```
&SYSTEM
  ibrav = 0, nat = 12, ntyp = 3
/
ATOMIC_SPECIES
Tb 158.93 Tb.upf
Pr 140.91 Pr.upf
Er 167.26 Er.upf
CELL_PARAMETERS angstrom
6.066 -2.949 0.000
6.066 2.949 0.000
-6.033 0.000 11.337
ATOMIC_POSITIONS crystal
Tb 0.000 0.000 0.000
Pr 0.216 0.216 0.661
Pr 0.361 0.361 0.222
Pr 0.639 0.639 0.778
Pr 0.784 0.784 0.339
Er 0.071 0.071 0.307
Er 0.212 0.212 0.924
Er 0.368 0.368 0.507
Er 0.500 0.500 0.000
Er 0.632 0.632 0.493
Er 0.788 0.788 0.076
Er 0.929 0.929 0.693
```


| no. | total magnetic moment (Bohr magnetons per cell) |
| --- | --- |
| 1 | 0.00 |
| 2 | 0.00 |
| 3 | 0.00 |
| 4 | 0.00 |
| 5 | 0.00 |
| 6 | 0.00 |